No. 1
# Tl6WF12, optimized geometry, DFT GGA+U
# raw total energy = -4.3701 eV per atom
# crystal system = trigonal
# calculated volume = 23.39 Å³ per atom
data_Tl6WF12
_chemical_formula_sum 'Tl18 W3 F36'
_space_group_name_H-M_alt 'R -3'
_space_group_IT_number 148
_space_group_name_Hall '-R 3'
_cell_length_a 11.8647
_cell_length_b 11.8647
_cell_length_c 10.9346
_cell_angle_alpha 90.00
_cell_angle_beta 90.00
_cell_angle_gamma 120.00
loop_
_atom_site_label
_atom_site_type_symbol
_atom_site_fract_x
_atom_site_fract_y
_atom_site_fract_z
_atom_site_occupancy
Tl1 Tl 0.0278 0.7904 0.1341 1
W1 W 0.0000 0.0000 0.5000 1
F1 F 0.0288 0.8177 0.8994 1
F2 F 0.0316 0.8818 0.4020 1

***

No. 2
# YTlWF2, optimized geometry, DFT GGA+U
# raw total energy = -4.0801 eV per atom
# crystal system = tetragonal
# calculated volume = 27.69 Å³ per atom
data_YTlWF2
_chemical_formula_sum 'Y1 Tl1 W1 F2'
_space_group_name_H-M_alt 'P 4/m m m'
_space_group_IT_number 123
_space_group_name_Hall '-P 4 2'
_cell_length_a 4.6112
_cell_length_b 4.6112
_cell_length_c 6.5107
_cell_angle_alpha 90.00
_cell_angle_beta 90.00
_cell_angle_gamma 90.00
loop_
_atom_site_label
_atom_site_type_symbol
_atom_site_fract_x
_atom_site_fract_y
_atom_site_fract_z
_atom_site_occupancy
Y1 Y 0.0000 0.0000 0.0000 1
Tl1 Tl 0.0000 0.0000 0.5000 1
W1 W 0.5000 0.5000 0.0000 1
F1 F 0.0000 0.5000 0.5000 1

***

No. 3
# TlZn2WF8, optimized geometry, DFT GGA+U
# raw total energy = -4.5114 eV per atom
# crystal system = trigonal
# calculated volume = 16.72 Å³ per atom
data_TlZn2WF8
_chemical_formula_sum 'Tl3 Zn6 W3 F24'
_space_group_name_H-M_alt 'R -3'
_space_group_IT_number 148
_space_group_name_Hall '-R 3'
_cell_length_a 5.3471
_cell_length_b 5.3471
_cell_length_c 24.3147
_cell_angle_alpha 90.00
_cell_angle_beta 90.00
_cell_angle_gamma 120.00
loop_
_atom_site_label
_atom_site_type_symbol
_atom_site_fract_x
_atom_site_fract_y
_atom_site_fract_z
_atom_site_occupancy
Tl1 Tl 0.0000 0.0000 0.0000 1
Zn1 Zn 0.0000 0.0000 0.2500 1
W1 W 0.0000 0.0000 0.5000 1
F1 F 0.0000 0.0000 0.3267 1
F2 F 0.0053 0.6834 0.4482 1

***

Repeat the second record exactly.
# YTlWF2, optimized geometry, DFT GGA+U
# raw total energy = -4.0801 eV per atom
# crystal system = tetragonal
# calculated volume = 27.69 Å³ per atom
data_YTlWF2
_chemical_formula_sum 'Y1 Tl1 W1 F2'
_space_group_name_H-M_alt 'P 4/m m m'
_space_group_IT_number 123
_space_group_name_Hall '-P 4 2'
_cell_length_a 4.6112
_cell_length_b 4.6112
_cell_length_c 6.5107
_cell_angle_alpha 90.00
_cell_angle_beta 90.00
_cell_angle_gamma 90.00
loop_
_atom_site_label
_atom_site_type_symbol
_atom_site_fract_x
_atom_site_fract_y
_atom_site_fract_z
_atom_site_occupancy
Y1 Y 0.0000 0.0000 0.0000 1
Tl1 Tl 0.0000 0.0000 0.5000 1
W1 W 0.5000 0.5000 0.0000 1
F1 F 0.0000 0.5000 0.5000 1

***

Please write out number 2 again, unchanged.
# YTlWF2, optimized geometry, DFT GGA+U
# raw total energy = -4.0801 eV per atom
# crystal system = tetragonal
# calculated volume = 27.69 Å³ per atom
data_YTlWF2
_chemical_formula_sum 'Y1 Tl1 W1 F2'
_space_group_name_H-M_alt 'P 4/m m m'
_space_group_IT_number 123
_space_group_name_Hall '-P 4 2'
_cell_length_a 4.6112
_cell_length_b 4.6112
_cell_length_c 6.5107
_cell_angle_alpha 90.00
_cell_angle_beta 90.00
_cell_angle_gamma 90.00
loop_
_atom_site_label
_atom_site_type_symbol
_atom_site_fract_x
_atom_site_fract_y
_atom_site_fract_z
_atom_site_occupancy
Y1 Y 0.0000 0.0000 0.0000 1
Tl1 Tl 0.0000 0.0000 0.5000 1
W1 W 0.5000 0.5000 0.0000 1
F1 F 0.0000 0.5000 0.5000 1

***

Which value of calculated volume does entry 2 give?
27.69 Å³ per atom

***

Look up the calculated volume of the second one.
27.69 Å³ per atom